1.
Computed, not measured: crystalline LaPrPuO6 at its relaxed geometry at the PBE level of DFT.

```
LaPrPuO6
1.0
6.016 0.000 0.000
-3.008 5.210 0.000
0.000 0.000 9.497
La Pr Pu O
2 2 2 12
Direct
0.333 0.667 0.250
0.667 0.333 0.750
0.000 0.000 0.000
0.000 0.000 0.500
0.333 0.667 0.750
0.667 0.333 0.250
0.042 0.370 0.634
0.042 0.672 0.866
0.328 0.370 0.866
0.328 0.958 0.634
0.370 0.042 0.134
0.370 0.328 0.366
0.630 0.672 0.634
0.630 0.958 0.866
0.672 0.042 0.366
0.672 0.630 0.134
0.958 0.328 0.134
0.958 0.630 0.366
```

Calculated values
DFT total energy (eV/atom): -8.9587
Raw formation energy (meV per atom): -2982
Density (Mg/m³): 6.92
Symmetry: No. 163

2.
Computed, not measured: crystalline YMn2Cd at its relaxed geometry at the PBE level of DFT.

```
YMn2Cd
1.0
-2.103 2.103 4.437
2.103 -2.103 4.437
2.103 2.103 -4.437
Y Mn Cd
1 2 1
Direct
0.000 0.000 0.000
0.500 0.500 0.000
0.750 0.250 0.500
0.250 0.750 0.500
```

Calculated values
DFT total energy (eV/atom): -6.1924
Density (Mg/m³): 6.58
ΔE_f (eV/atom): 0.237
Symmetry: No. 119